This record from Alexandria describes a relaxed Cd2In3Bi3 crystal. The functional is GGA-PBE.

calculated formation energy: 0.4 eV/f.u.
crystal system: orthorhombic
total energy: -42.50 eV per cell
theoretical density: 8.047 g/cm3
calculated volume: 30.86 A^3/atom
size of the total moment: 0.000 μB/cell

a = 6.856 Å, b = 6.856 Å, c = 15.055 Å
α = 90.00°, β = 90.00°, γ = 135.76°
Fractional coordinates of all 16 atoms:
Cd1 0.242 0.758 0.584
Cd2 0.242 0.758 0.916
Cd3 0.758 0.242 0.084
Cd4 0.758 0.242 0.416
In1 0.079 0.921 0.091
In2 0.079 0.921 0.409
In3 0.256 0.744 0.250
In4 0.744 0.256 0.750
In5 0.921 0.079 0.591
In6 0.921 0.079 0.909
Bi1 0.400 0.600 0.083
Bi2 0.400 0.600 0.417
Bi3 0.400 0.600 0.750
Bi4 0.600 0.400 0.250
Bi5 0.600 0.400 0.583
Bi6 0.600 0.400 0.917